1.
NaAg2F4 | PBE | relaxed

Results
Crystal system: tetragonal
Symmetry: I4_1/amd, No. 141
Formation energy (no corrections): -1539.9 meV per atom

Lattice parameters (Å, degrees): 6.8304 6.8304 6.8304 118.57 92.49 118.57
Last column: nearest neighbours and their distance in Å.
Atoms (fractional coordinates):
Na1 0.7500 0.5000 0.2500  4 F 2.27
Na2 0.0000 0.0000 0.0000  4 F 2.27
Ag1 0.3750 0.7499 0.6249  4 F 2.26
Ag2 0.3749 0.2499 0.6250  4 F 2.26
Ag3 0.8750 0.2501 0.6251  4 F 2.26
Ag4 0.3751 0.7501 0.1250  4 F 2.26
F1 0.6561 0.2004 0.8567  2 Ag 2.26, 1 Na 2.27
F2 0.0939 0.7006 0.7943  2 Ag 2.26, 1 Na 2.27
F3 0.6563 0.7996 0.4557  2 Ag 2.26, 1 Na 2.27
F4 0.0937 0.2994 0.3933  2 Ag 2.26, 1 Na 2.27
F5 0.5443 0.2006 0.3439  2 Ag 2.26, 1 Na 2.27
F6 0.6067 0.7004 0.9061  2 Ag 2.26, 1 Na 2.27
F7 0.2057 0.2996 0.9063  2 Ag 2.26, 1 Na 2.27
F8 0.1433 0.7994 0.3437  2 Ag 2.26, 1 Na 2.27

2.
CePmErGa | PBE | relaxed

Results
Uncorrected energy: -4.614 eV per atom
Crystal system: cubic
Symmetry: F-43m, No. 216

Lattice parameters (Å, degrees): 5.3154 5.3154 5.3154 60.00 60.00 60.00
Last column: nearest neighbours and their distance in Å.
Atoms (fractional coordinates):
Pm1 0.7500 0.7500 0.7500  4 Ce 3.26, 4 Er 3.26
Ga1 0.2500 0.2500 0.2500  4 Er 3.26, 4 Ce 3.26
Ce1 0.5000 0.5000 0.5000  4 Ga 3.26, 4 Pm 3.26
Er1 0.0000 0.0000 0.0000  4 Ga 3.26, 4 Pm 3.26

| no. | total magnetization (μB per atom) | DOS(E_F) (states/eV/f.u.) |
| --- | --- | --- |
| 1 | 0.12 | 3.93 |
| 2 | 0.00 | 8.58 |